Density functional theory data (PBE-GGA) for a relaxed Ce4In2Si crystal.

Results
- Energy relative to the elements, uncorrected: -273 meV per atom

Cell lengths 3.5412, 4.5936, 11.3537 Å; angles 101.67, 90.00, 90.00 degrees
Last column: magnetic moment on the atom in μB.
Element x y z (fractional)
Si 0.0000 0.5000 0.0000  -0.01
Ce 0.5000 0.0608 0.1217  0.49
Ce 0.0000 0.6451 0.2901  0.72
Ce 0.0000 0.3549 0.7099  0.72
Ce 0.5000 0.9392 0.8783  0.49
In 0.5000 0.2112 0.4223  -0.01
In 0.5000 0.7888 0.5777  -0.01

---

Density functional theory data (PBE-GGA) for a relaxed LaThScTl crystal.

Results
- Formation energy from the elements: 0.021 eV per atom

Cell lengths 5.5373, 5.5373, 5.5373 Å; angles 60.00, 60.00, 60.00 degrees
Element x y z (fractional)
Tl 0.0000 0.0000 0.0000
Th 0.2500 0.2500 0.2500
La 0.7500 0.7500 0.7500
Sc 0.5000 0.5000 0.5000

---

no.,total magnetic moment (μB per cell)
1,2.922
2,0.000